# GdRu2C

A relaxed GdRu2C crystal (PBE-GGA, Alexandria via LeMat-Bulk).

```
GdRu2C
1.0
3.258 0.000 0.000
-1.629 2.821 0.000
0.000 0.000 20.767
Gd Ru C
3 6 3
direct
0.000 0.000 0.000 Gd
0.333 0.667 0.667 Gd
0.667 0.333 0.333 Gd
0.000 0.000 0.214 Ru
0.000 0.000 0.786 Ru
0.333 0.667 0.453 Ru
0.333 0.667 0.880 Ru
0.667 0.333 0.120 Ru
0.667 0.333 0.547 Ru
0.000 0.000 0.500 C
0.333 0.667 0.167 C
0.667 0.333 0.833 C
```

Properties
Formation energy from the elements, eV/atom: 0.308
Total DFT energy (no corrections), eV/atom: -10.16


# Pm2Si4Ru3

A relaxed Pm2Si4Ru3 crystal (PBE-GGA, Alexandria via LeMat-Bulk).

```
Pm2Si4Ru3
1.0
6.705 0.000 0.000
0.000 6.709 0.000
-2.714 0.000 6.684
Pm Si Ru
4 8 6
direct
0.188 0.168 0.061 Pm
0.188 0.332 0.561 Pm
0.812 0.668 0.439 Pm
0.812 0.832 0.939 Pm
0.112 0.570 0.879 Si
0.112 0.930 0.379 Si
0.473 0.656 0.616 Si
0.473 0.844 0.116 Si
0.527 0.156 0.884 Si
0.527 0.344 0.384 Si
0.888 0.070 0.621 Si
0.888 0.430 0.121 Si
0.247 0.632 0.251 Ru
0.247 0.868 0.751 Ru
0.500 0.000 0.500 Ru
0.500 0.500 0.000 Ru
0.753 0.132 0.249 Ru
0.753 0.368 0.749 Ru
```

Properties
Total DFT energy (no corrections), eV/atom: -7.25


# CeMg3Au3

A relaxed CeMg3Au3 crystal (PBE-GGA, Alexandria via LeMat-Bulk).

```
CeMg3Au3
1.0
8.629 0.000 0.000
-4.314 7.473 0.000
0.000 0.000 4.728
Ce Mg Au
2 6 6
direct
0.333 0.667 0.250 Ce
0.667 0.333 0.750 Ce
0.016 0.252 0.750 Mg
0.235 0.984 0.750 Mg
0.252 0.235 0.250 Mg
0.748 0.765 0.750 Mg
0.765 0.016 0.250 Mg
0.984 0.748 0.250 Mg
0.063 0.622 0.750 Au
0.378 0.441 0.750 Au
0.441 0.063 0.250 Au
0.559 0.937 0.750 Au
0.622 0.559 0.250 Au
0.937 0.378 0.250 Au
```

Properties
Formation energy from the elements, eV/atom: -0.533
E above lowest polymorph, eV per formula unit: 0.000
Total DFT energy (no corrections), eV/atom: -3.47